No. 1
The following is a PBE-GGA calculation of a geometry-optimized MgZr structure, from the Open Quantum Materials Database.

Energy ... -10.02 eV/f.u.
Space group ... No. 11
Magnetization ... 0.014 μB/f.u.

Cell lengths 8.5814, 6.3921, 5.0754 Å; angles 90.00, 90.00, 101.06 degrees
Sites, in units of the cell vectors:
Zr: 0.8755 0.7159 0.5000
Zr: 0.6666 0.1741 0.0000
Zr: 0.3467 0.3397 0.0000
Zr: 0.5556 0.8815 0.5000
Zr: 0.5634 0.3878 0.5000
Zr: 0.6588 0.6678 0.0000
Mg: 0.0054 0.5037 0.0000
Mg: 0.0037 0.0000 0.0000
Mg: 0.2168 0.5518 0.5000
Mg: 0.8946 0.2176 0.5000
Mg: 0.3276 0.8379 0.0000
Mg: 0.2185 0.0555 0.5000

***

No. 2
The following is a PBE-GGA calculation of a geometry-optimized MgZr3 structure, from the Open Quantum Materials Database.

Energy ... -26.95 eV/f.u.
Space group ... No. 63
Magnetization ... 0.011 μB/f.u.

Cell lengths 6.4843, 6.3978, 5.1152 Å; angles 90.00, 90.00, 120.45 degrees
Sites, in units of the cell vectors:
Zr: 0.0073 0.0011 0.0000
Zr: 0.4994 0.4989 0.0000
Zr: 0.8260 0.6655 0.5000
Zr: 0.3395 0.6655 0.5000
Zr: 0.3339 0.1678 0.5000
Zr: 0.4938 0.0011 0.0000
Mg: 0.8323 0.1647 0.5000
Mg: 0.0010 0.5020 0.0000

***

No. 3
The following is a PBE-GGA calculation of a geometry-optimized MgZr2 structure, from the Open Quantum Materials Database.

Energy ... -18.46 eV/f.u.
Space group ... No. 63
Magnetization ... 0.053 μB/f.u.

Cell lengths 5.3238, 10.0279, 5.0871 Å; angles 90.00, 90.00, 90.00 degrees
Sites, in units of the cell vectors:
Zr: 0.4772 0.1660 0.0000
Zr: 0.8561 0.1660 0.5000
Zr: 0.3561 0.6660 0.5000
Zr: 0.4772 0.8340 0.0000
Zr: 0.9772 0.6660 0.0000
Zr: 0.9772 0.3340 0.0000
Zr: 0.3561 0.3340 0.5000
Zr: 0.8561 0.8340 0.5000
Mg: 0.4805 0.5000 0.0000
Mg: 0.3529 0.0000 0.5000
Mg: 0.9805 0.0000 0.0000
Mg: 0.8528 0.5000 0.5000

***

No. 4
The following is a PBE-GGA calculation of a geometry-optimized MgZr structure, from the Open Quantum Materials Database.

Energy ... -9.97 eV/f.u.
Space group ... No. 59
Magnetization ... 0.005 μB/f.u.

Cell lengths 4.8987, 14.7204, 4.8959 Å; angles 90.00, 90.00, 90.00 degrees
Sites, in units of the cell vectors:
Zr: 0.9148 0.8750 0.5000
Zr: 0.9174 0.2597 0.0000
Zr: 0.4184 0.3750 0.0000
Zr: 0.9174 0.4903 0.0000
Zr: 0.4158 0.7594 0.5000
Zr: 0.9162 0.3750 0.5000
Zr: 0.4173 0.8750 0.0000
Zr: 0.4158 0.9906 0.5000
Mg: 0.9159 0.1249 0.5000
Mg: 0.4161 0.5083 0.5000
Mg: 0.9159 0.6251 0.5000
Mg: 0.9174 0.7415 0.0000
Mg: 0.4161 0.2417 0.5000
Mg: 0.4174 0.6251 0.0000
Mg: 0.4174 0.1249 0.0000
Mg: 0.9174 0.0085 0.0000

***

No. 5
The following is a PBE-GGA calculation of a geometry-optimized MgZr structure, from the Open Quantum Materials Database.

Energy ... -10.01 eV/f.u.
Space group ... No. 11
Magnetization ... 0.002 μB/f.u.

Cell lengths 8.6159, 6.3442, 5.1163 Å; angles 90.00, 90.00, 101.39 degrees
Sites, in units of the cell vectors:
Zr: 0.2070 0.5506 0.5000
Zr: 0.8873 0.2180 0.5000
Zr: 0.0152 0.5050 0.0000
Zr: 0.3348 0.8375 0.0000
Zr: 0.2016 0.0421 0.5000
Zr: 0.0205 0.0134 0.0000
Mg: 0.8809 0.7132 0.5000
Mg: 0.5415 0.3761 0.5000
Mg: 0.6808 0.6794 0.0000
Mg: 0.6747 0.1704 0.0000
Mg: 0.3413 0.3423 0.0000
Mg: 0.5476 0.8852 0.5000

***

No. 6
The following is a PBE-GGA calculation of a geometry-optimized MgZr structure, from the Open Quantum Materials Database.

Energy ... -9.90 eV/f.u.
Space group ... No. 59
Magnetization ... 0.003 μB/f.u.

Cell lengths 5.5246, 12.8407, 5.0964 Å; angles 90.00, 90.00, 90.00 degrees
Sites, in units of the cell vectors:
Mg: 0.0082 0.5011 0.0000
Mg: 0.3253 0.7488 0.5000
Mg: 0.4954 0.3750 0.0000
Mg: 0.8382 0.3750 0.5000
Mg: 0.8377 0.8750 0.5000
Mg: 0.4951 0.8750 0.0000
Mg: 0.0082 0.2489 0.0000
Mg: 0.3253 0.0012 0.5000
Zr: 0.9930 0.7401 0.0000
Zr: 0.3404 0.2402 0.5000
Zr: 0.5155 0.6286 0.0000
Zr: 0.9930 0.0099 0.0000
Zr: 0.5155 0.1214 0.0000
Zr: 0.8176 0.6212 0.5000
Zr: 0.3404 0.5098 0.5000
Zr: 0.8176 0.1288 0.5000